No. 1
Y2ErTh3Bi6 | PBE | optimized geometry

Computed properties:
For the density of states at the Fermi level, the calculation gives 0.556 states/eV/atom. The formation energy comes out at -0.715 eV per atom. The value obtained for the total energy is -143.222 eV for the cell shown.

```
data_Y2ErTh3Bi6
_chemical_formula_sum 'Y4 Er2 Th6 Bi12'
_cell_length_a 19.7583
_cell_length_b 4.5433
_cell_length_c 9.0418
_cell_angle_alpha 90.00
_cell_angle_beta 103.00
_cell_angle_gamma 90.00
_space_group_name_H-M_alt 'C 1 2/m 1'
_space_group_IT_number 12
_space_group_name_Hall '-C 2y'
loop_
_atom_site_label
_atom_site_type_symbol
_atom_site_fract_x
_atom_site_fract_y
_atom_site_fract_z
_atom_site_occupancy
Y1 Y 0.1667 0.0000 0.3335 1
Er1 Er 0.0000 0.5000 0.0000 1
Th1 Th 0.0000 0.5000 0.5000 1
Th2 Th 0.1673 0.0000 0.8335 1
Bi1 Bi 0.0017 0.0000 0.2428 1
Bi2 Bi 0.1636 0.5000 0.0879 1
Bi3 Bi 0.1686 0.5000 0.5782 1
```


No. 2
Sc2Re3 | PBE | optimized geometry

Computed properties:
For the density of states at the Fermi level, the calculation gives 1.439 states/eV/atom. The formation energy comes out at 0.195 eV per atom. For the energy above the most stable polymorph in this dataset, the calculation gives 13.0 kJ/mol of atoms. The value obtained for the total energy is -147.091 eV for the cell shown.

```
data_Sc2Re3
_chemical_formula_sum 'Sc6 Re9'
_cell_length_a 2.9135
_cell_length_b 2.9135
_cell_length_c 34.4659
_cell_angle_alpha 90.00
_cell_angle_beta 90.00
_cell_angle_gamma 120.00
_space_group_name_H-M_alt 'R -3 m'
_space_group_IT_number 166
_space_group_name_Hall '-R 3 2"'
loop_
_atom_site_label
_atom_site_type_symbol
_atom_site_fract_x
_atom_site_fract_y
_atom_site_fract_z
_atom_site_occupancy
Sc1 Sc 0.0000 0.0000 0.0988 1
Re1 Re 0.0000 0.0000 0.3035 1
Re2 Re 0.0000 0.0000 0.5000 1
```


No. 3
V2CrIn | PBE | optimized geometry

Computed properties:
For the density of states at the Fermi level, the calculation gives 0.877 states/eV/atom. The formation energy comes out at 0.089 eV per atom. For the energy above the most stable polymorph in this dataset, the calculation gives 0.0 kJ/mol of atoms. The value obtained for the total energy is -30.241 eV for the cell shown.

```
data_V2CrIn
_chemical_formula_sum 'V2 Cr1 In1'
_cell_length_a 3.0669
_cell_length_b 3.0669
_cell_length_c 6.3450
_cell_angle_alpha 90.00
_cell_angle_beta 90.00
_cell_angle_gamma 90.00
_space_group_name_H-M_alt 'P 4/m m m'
_space_group_IT_number 123
_space_group_name_Hall '-P 4 2'
loop_
_atom_site_label
_atom_site_type_symbol
_atom_site_fract_x
_atom_site_fract_y
_atom_site_fract_z
_atom_site_occupancy
V1 V 0.0000 0.0000 0.2018 1
Cr1 Cr 0.5000 0.5000 0.0000 1
In1 In 0.5000 0.5000 0.5000 1
```


No. 4
Pa3S5Cl | PBE | optimized geometry

Computed properties:
For the density of states at the Fermi level, the calculation gives 1.052 states/eV/atom. For the energy relative to the elements, uncorrected, the calculation gives -1.47 eV per atom. The value obtained for the total energy is -256.706 eV for the cell shown.

```
data_Pa3S5Cl
_chemical_formula_sum 'Pa12 S20 Cl4'
_cell_length_a 12.2919
_cell_length_b 9.0227
_cell_length_c 10.0493
_cell_angle_alpha 90.00
_cell_angle_beta 114.90
_cell_angle_gamma 90.00
_space_group_name_H-M_alt 'C 1 2/m 1'
_space_group_IT_number 12
_space_group_name_Hall '-C 2y'
loop_
_atom_site_label
_atom_site_type_symbol
_atom_site_fract_x
_atom_site_fract_y
_atom_site_fract_z
_atom_site_occupancy
Pa1 Pa 0.0000 0.0000 0.0000 1
Pa2 Pa 0.0000 0.0000 0.5000 1
Pa3 Pa 0.1467 0.5000 0.1728 1
Pa4 Pa 0.1686 0.5000 0.6644 1
S1 S 0.0000 0.2991 0.5000 1
S2 S 0.0861 0.5000 0.8790 1
S3 S 0.1620 0.1993 0.1709 1
S4 S 0.2296 0.0000 0.5292 1
Cl1 Cl 0.1117 0.0000 0.8084 1
```


- Number 2 is which compound?
  Sc2Re3